Here is a relaxed Rb3HAu crystal from Alexandria. Energies are from PBE.

Output
relative energy among the computed polymorphs = 36 meV per atom

```
data_Rb3HAu
_chemical_formula_sum 'Rb12 H4 Au4'
_cell_length_a 7.905
_cell_length_b 16.816
_cell_length_c 5.597
_cell_angle_alpha 90.00
_cell_angle_beta 90.00
_cell_angle_gamma 90.00
_symmetry_space_group_name_H-M 'C m m m'
_symmetry_Int_Tables_number 65
_symmetry_space_group_name_Hall '-C 2 2'
loop_
_atom_site_label
_atom_site_type_symbol
_atom_site_fract_x
_atom_site_fract_y
_atom_site_fract_z
Rb1 Rb 0.000 0.139 0.000
Rb2 Rb 0.228 0.500 0.500
Rb3 Rb 0.250 0.250 0.500
H1 H 0.000 0.119 0.500
Au1 Au 0.000 0.354 0.000
```